This record from Alexandria via LeMat-Bulk describes NdNi2C after structural relaxation. The functional is GGA-PBE.

Structure (extended XYZ):
```
16
Lattice="5.3937 0.0000 0.0000 0.0000 6.4044 0.0000 -0.5970 0.0000 7.0085" Properties=species:S:1:pos:R:3 pbc="T T T"
Nd 0.4812 0.8593 2.0914
Nd 0.1826 2.3429 5.5957
Nd 4.6140 4.0615 1.4129
Nd 4.3154 5.5451 4.9171
Ni 1.6604 4.2926 3.4278
Ni 1.3619 5.3141 6.9321
Ni 1.7683 0.1912 4.7346
Ni 2.0668 3.0110 1.2304
Ni 2.7298 3.3934 5.7782
Ni 3.0283 6.2132 2.2739
Ni 3.4347 1.0903 0.0764
Ni 3.1362 2.1119 3.5807
C 1.4906 4.7543 5.1946
C 1.7891 4.8524 1.6904
C 3.0075 1.5521 5.3182
C 3.3060 1.6501 1.8139
```

Spin magnetization: 0.00 μB per atom
E_form: -0.148 eV/atom
Raw total energy: -6.537 eV per atom
Relative energy among the computed polymorphs: 0 meV per atom
Space-group type: No. 14



This record from Alexandria via LeMat-Bulk describes K3YRe after structural relaxation. The functional is GGA-PBE.

Structure (extended XYZ):
```
5
Lattice="6.0908 0.0000 0.0000 0.0000 6.0908 0.0000 0.0000 0.0000 6.0908" Properties=species:S:1:pos:R:3 pbc="T T T"
K 0.0000 0.0000 3.0454
K 0.0000 3.0454 0.0000
K 3.0454 0.0000 0.0000
Y 3.0454 3.0454 3.0454
Re 0.0000 0.0000 0.0000
```

Spin magnetization: 0.00 μB per atom
E_form: 1.951 eV/atom
Raw total energy: -2.490 eV per atom
Relative energy among the computed polymorphs: 0 meV per atom
Space-group type: No. 221



This record from Alexandria via LeMat-Bulk describes HgIr2Br after structural relaxation. The functional is GGA-PBE.

Structure (extended XYZ):
```
4
Lattice="3.0159 0.0000 0.0000 0.0000 3.0159 0.0000 0.0000 0.0000 7.6380" Properties=species:S:1:pos:R:3 pbc="T T T"
Hg 0.0000 0.0000 0.0000
Ir 1.5080 1.5080 2.0187
Ir 1.5080 1.5080 5.6193
Br 0.0000 0.0000 3.8190
```

Spin magnetization: 0.00 μB per atom
Raw total energy: -3.913 eV per atom
Formation energy without anion corrections: 1.01 eV/atom
Relative energy among the computed polymorphs: 590 meV per atom
Space-group type: No. 123



This record from Alexandria via LeMat-Bulk describes NaHoSi2Au5 after structural relaxation. The functional is GGA-PBE.

Structure (extended XYZ):
```
9
Lattice="4.7218 0.0000 0.0000 0.0000 4.7218 0.0000 0.0000 0.0000 9.6523" Properties=species:S:1:pos:R:3 pbc="T T T"
Na 0.0000 0.0000 0.0000
Ho 0.0000 0.0000 4.8261
Si 2.3609 2.3609 2.3973
Si 2.3609 2.3609 7.2550
Au 0.0000 2.3609 3.0482
Au 0.0000 2.3609 6.6041
Au 2.3609 0.0000 3.0482
Au 2.3609 0.0000 6.6041
Au 2.3609 2.3609 0.0000
```

Spin magnetization: 0.00 μB per atom
Raw total energy: -3.997 eV per atom
Formation energy without anion corrections: -0.32 eV/atom
Space-group type: No. 123